No. 1
Below is a relaxed Cr2IrBr crystal, with properties calculated at the PBE-GGA level.

Its crystal system is trigonal. As for the space group: R-3m (166). Its total energy is -27.6 eV for the cell shown. The energy above the most stable polymorph in this dataset comes out at 0.270 eV/atom. The calculation puts the formation energy without anion corrections at 0.55 eV/atom.

a b c (Å): 8.3175 8.3175 8.3175
angles (deg): 19.62 19.62 19.62
Last column: nearest neighbours and their distance in Å.
Sites, in units of the cell vectors:
1 Cr 0.2493 0.2493 0.2493  3 Br 2.60, 3 Ir 2.63, 6 Cr 2.83
2 Cr 0.7507 0.7507 0.7507  3 Br 2.60, 3 Ir 2.63, 6 Cr 2.83
3 Ir 0.0000 0.0000 0.0000  6 Cr 2.63, 6 Ir 2.83
4 Br 0.5000 0.5000 0.5000  6 Cr 2.60, 6 Br 2.83

No. 2
Below is a relaxed Cr2IrBr crystal, with properties calculated at the PBE-GGA level.

Its crystal system is cubic. As for the space group: Fm-3m (225). Its total energy is -26.4 eV for the cell shown. The energy above the most stable polymorph in this dataset comes out at 0.568 eV/atom. The calculation puts the formation energy without anion corrections at 0.85 eV/atom.

a b c (Å): 4.3056 4.3056 4.3056
angles (deg): 60.00 60.00 60.00
Last column: nearest neighbours and their distance in Å.
Sites, in units of the cell vectors:
1 Cr 0.2500 0.2500 0.2500  4 Br 2.64, 4 Ir 2.64
2 Cr 0.7500 0.7500 0.7500  4 Ir 2.64, 4 Br 2.64
3 Ir 0.0000 0.0000 0.0000  8 Cr 2.64
4 Br 0.5000 0.5000 0.5000  8 Cr 2.64

No. 3
Below is a relaxed Cr2IrBr crystal, with properties calculated at the PBE-GGA level.

Its crystal system is tetragonal. As for the space group: P4/mmm (123). Its total energy is -27.8 eV for the cell shown. The energy above the most stable polymorph in this dataset comes out at 0.208 eV/atom. The calculation puts the formation energy without anion corrections at 0.49 eV/atom.

a b c (Å): 2.8621 2.8621 6.8683
angles (deg): 90.00 90.00 90.00
Last column: nearest neighbours and their distance in Å.
Sites, in units of the cell vectors:
1 Cr 0.0000 0.0000 0.2504  4 Br 2.65, 4 Ir 2.66, 4 Cr 2.86
2 Cr 0.0000 0.0000 0.7496  4 Br 2.65, 4 Ir 2.66, 4 Cr 2.86
3 Ir 0.5000 0.5000 0.0000  8 Cr 2.66, 4 Ir 2.86
4 Br 0.5000 0.5000 0.5000  8 Cr 2.65, 4 Br 2.86

Repeat the third record exactly.
Below is a relaxed Cr2IrBr crystal, with properties calculated at the PBE-GGA level.

Its crystal system is tetragonal. As for the space group: P4/mmm (123). Its total energy is -27.8 eV for the cell shown. The energy above the most stable polymorph in this dataset comes out at 0.208 eV/atom. The calculation puts the formation energy without anion corrections at 0.49 eV/atom.

a b c (Å): 2.8621 2.8621 6.8683
angles (deg): 90.00 90.00 90.00
Last column: nearest neighbours and their distance in Å.
Sites, in units of the cell vectors:
1 Cr 0.0000 0.0000 0.2504  4 Br 2.65, 4 Ir 2.66, 4 Cr 2.86
2 Cr 0.0000 0.0000 0.7496  4 Br 2.65, 4 Ir 2.66, 4 Cr 2.86
3 Ir 0.5000 0.5000 0.0000  8 Cr 2.66, 4 Ir 2.86
4 Br 0.5000 0.5000 0.5000  8 Cr 2.65, 4 Br 2.86

> Look up the total energy of the second one.

-26.4 eV for the cell shown

> What is the formation energy without anion corrections in the second record?

0.85 eV/atom